(1)
Tc4Ge2O | Alexandria | GGA-PBE | relaxed; VASP energy = -7.822 eV per atom; uncorrected formation energy = 0.129 eV/atom
1.0
-1.992 1.992 6.415
1.992 -1.992 6.415
1.992 1.992 -6.415
Tc Ge O
4 2 1
Cartesian
1.992 0.000 0.000 Tc
0.000 0.000 2.166 Tc
0.000 1.992 0.000 Tc
0.000 0.000 10.664 Tc
0.000 0.000 4.615 Ge
0.000 0.000 8.215 Ge
0.000 0.000 0.000 O

---

(2)
TcGeO3 | Alexandria | GGA-PBE | relaxed; VASP energy = -6.500 eV per atom; uncorrected formation energy = -0.528 eV/atom
1.0
3.770 0.000 0.000
0.000 3.770 0.000
0.000 0.000 3.770
Tc Ge O
1 1 3
Cartesian
0.000 0.000 0.000 Tc
1.885 1.885 1.885 Ge
0.000 1.885 1.885 O
1.885 0.000 1.885 O
1.885 1.885 0.000 O

---

(3)
ThTcGeO | Alexandria | GGA-PBE | relaxed; VASP energy = -8.504 eV per atom; uncorrected formation energy = -1.664 eV/atom
1.0
4.041 0.000 0.000
0.000 4.041 0.000
0.000 0.000 8.615
Th Tc Ge O
2 2 2 2
Cartesian
1.010 1.010 1.310 Th
3.031 3.031 7.305 Th
1.010 3.031 4.307 Tc
3.031 1.010 4.307 Tc
1.010 1.010 5.835 Ge
3.031 3.031 2.780 Ge
1.010 3.031 0.000 O
3.031 1.010 0.000 O

---

> Which value of VASP energy does entry 2 give?

-6.500 eV per atom